# 1
The following is a DFT calculation (GGA-PBE) of a relaxed structure of Ca2Sm4Bi3O2.

Unit cell a=4.8103 b=4.8103 c=13.3380 alpha=100.39 beta=100.39 gamma=90.00
Last column: nearest neighbours and their distance in Å.
Atoms (fractional coordinates):
Bi  0.8215  0.8215  0.6430  5 Ca 3.30-3.42, 4 Sm 3.42
Bi  0.0000  0.0000  0.0000  8 Sm 3.24
Bi  0.1785  0.1785  0.3570  5 Ca 3.30-3.42, 4 Sm 3.42
Ca  0.6936  0.6936  0.3871  1 O 2.38
Ca  0.3064  0.3064  0.6129  1 O 2.38
Sm  0.9157  0.4157  0.8314  2 O 2.45
Sm  0.4157  0.9157  0.8314  2 O 2.45
Sm  0.5843  0.0843  0.1686  2 O 2.45
Sm  0.0843  0.5843  0.1686  2 O 2.45
O  0.3986  0.3986  0.7971  1 Ca 2.38, 4 Sm 2.45
O  0.6014  0.6014  0.2029  1 Ca 2.38, 4 Sm 2.45

Results
- Total energy: -5.597 eV/atom
- DOS at the Fermi energy: 4.3 states/eV/cell
- Magnetization: 0.00 μB per atom
- Formation energy (no corrections): -1.56 eV per atom



# 2
The following is a DFT calculation (GGA-PBE) of a relaxed structure of LaCeIn6.

Unit cell a=5.2353 b=6.8708 c=6.8708 alpha=119.98 beta=90.00 gamma=90.00
Last column: nearest neighbours and their distance in Å.
Atoms (fractional coordinates):
In  0.0000  0.5940  0.4060  6 In 3.21-3.22, 2 La 3.36, 2 Ce 3.44
In  0.5000  0.4327  0.0915  8 In 3.22-3.60, 2 Ce 3.34, 2 La 3.44
In  0.0000  0.0618  0.4059  6 In 3.21-3.22, 2 La 3.36, 2 Ce 3.44
In  0.5000  0.9086  0.0914  8 In 3.22-3.60, 2 Ce 3.34, 2 La 3.44
In  0.5000  0.9085  0.5673  8 In 3.22-3.60, 2 Ce 3.34, 2 La 3.44
In  0.0000  0.5941  0.9382  6 In 3.21-3.22, 2 La 3.36, 2 Ce 3.44
La  0.5000  0.4166  0.5834  12 In 3.36-3.44
Ce  0.0000  0.0834  0.9166  12 In 3.34-3.44

Results
- Total energy: -3.827 eV/atom
- Formation energy from the elements: -0.416 eV per atom
- DOS at the Fermi energy: 8.6 states/eV/cell
- Magnetization: 0.11 μB per atom
- Distance to the lowest polymorph of the same formula: 34 meV per atom



# 3
The following is a DFT calculation (GGA-PBE) of a relaxed structure of PmMgGa5Pd2.

Unit cell a=4.4567 b=4.4567 c=10.0474 alpha=90.00 beta=90.00 gamma=90.00
Last column: nearest neighbours and their distance in Å.
Atoms (fractional coordinates):
Ga  0.5000  0.0000  0.8344  2 Pd 2.46
Ga  0.0000  0.5000  0.8344  2 Pd 2.46
Ga  0.5000  0.0000  0.1656  2 Pd 2.46
Ga  0.0000  0.5000  0.1656  2 Pd 2.46
Ga  0.5000  0.5000  0.5000  2 Pd 2.31
Pm  0.0000  0.0000  0.5000  4 Ga 3.15
Pd  0.5000  0.5000  0.2696  5 Ga 2.31-2.46
Pd  0.5000  0.5000  0.7304  5 Ga 2.31-2.46
Mg  0.0000  0.0000  0.0000  8 Ga 2.78

Results
- Total energy: -3.767 eV/atom
- Formation energy from the elements: -0.227 eV per atom
- DOS at the Fermi energy: 3.9 states/eV/cell
- Magnetization: 0.00 μB per atom



# 4
The following is a DFT calculation (GGA-PBE) of a relaxed structure of Nd6PN4.

Unit cell a=3.7557 b=6.3848 c=18.8904 alpha=90.00 beta=90.00 gamma=107.10
Last column: nearest neighbours and their distance in Å.
Atoms (fractional coordinates):
Nd  0.9561  0.9121  0.8477  3 N 2.41-2.51
Nd  0.6582  0.3165  0.7500  2 N 2.52
Nd  0.7779  0.5558  0.0787  5 N 2.47-2.66
Nd  0.7779  0.5558  0.4213  5 N 2.47-2.66
Nd  0.0439  0.0879  0.1523  3 N 2.41-2.51
Nd  0.5000  0.0000  0.5000  6 N 2.58-2.64
Nd  0.3418  0.6835  0.2500  2 N 2.52
Nd  0.9561  0.9121  0.6523  3 N 2.41-2.51
Nd  0.2221  0.4442  0.9213  5 N 2.47-2.66
Nd  0.0439  0.0879  0.3477  3 N 2.41-2.51
Nd  0.5000  0.0000  0.0000  6 N 2.58-2.64
Nd  0.2221  0.4442  0.5787  5 N 2.47-2.66
N  0.1386  0.2772  0.0404  6 Nd 2.41-2.64
N  0.4141  0.8281  0.1251  6 Nd 2.51-2.66
N  0.5859  0.1719  0.8749  6 Nd 2.51-2.66
N  0.8614  0.7228  0.5404  6 Nd 2.41-2.64
N  0.8614  0.7228  0.9596  6 Nd 2.41-2.64
N  0.1386  0.2772  0.4596  6 Nd 2.41-2.64
N  0.5859  0.1719  0.6251  6 Nd 2.51-2.66
N  0.4141  0.8281  0.3749  6 Nd 2.51-2.66
P  0.3351  0.6703  0.7500  6 Nd 2.86-3.02
P  0.6649  0.3297  0.2500  6 Nd 2.86-3.02

Results
- Total energy: -7.396 eV/atom
- DOS at the Fermi energy: 7.8 states/eV/cell
- Magnetization: 0.01 μB per atom
- Formation energy (no corrections): -1.28 eV per atom



# 5
The following is a DFT calculation (GGA-PBE) of a relaxed structure of Ac2PmDyAs4.

Unit cell a=4.3668 b=7.5685 c=7.5575 alpha=70.58 beta=90.00 gamma=90.00
Last column: nearest neighbours and their distance in Å.
Atoms (fractional coordinates):
As  0.5000  0.7295  0.2599  2 Dy 3.00, 1 Pm 3.02, 3 Ac 3.15-3.18
As  0.0000  0.7315  0.7529  1 Dy 2.99, 2 Pm 3.02, 3 Ac 3.16-3.18
As  0.5000  0.2705  0.7401  2 Dy 3.00, 1 Pm 3.02, 3 Ac 3.15-3.18
As  0.0000  0.2685  0.2471  1 Dy 2.99, 2 Pm 3.02, 3 Ac 3.16-3.18
Dy  0.0000  0.5000  0.5000  6 As 2.99-3.00
Pm  0.5000  0.5000  0.0000  6 As 3.02
Ac  0.0000  0.0000  0.0000  6 As 3.18
Ac  0.5000  0.0000  0.5000  6 As 3.15-3.16

Results
- Total energy: -5.997 eV/atom
- Formation energy from the elements: -1.476 eV per atom
- DOS at the Fermi energy: 0.7 states/eV/cell
- Magnetization: 0.00 μB per atom



# 6
The following is a DFT calculation (GGA-PBE) of a relaxed structure of CsNaSbCl6.

Unit cell a=7.1423 b=7.1423 c=7.6006 alpha=90.01 beta=89.98 gamma=59.96
Last column: nearest neighbours and their distance in Å.
Atoms (fractional coordinates):
Cl  0.3566  0.0316  0.6948  1 Sb 2.55, 1 Na 2.85
Cl  0.6115  0.3571  0.6950  1 Sb 2.55, 1 Na 2.85
Cl  0.3571  0.6115  0.3050  1 Sb 2.55, 1 Na 2.85
Cl  0.0310  0.6122  0.6945  1 Sb 2.55, 1 Na 2.85
Cl  0.0316  0.3567  0.3052  1 Sb 2.55, 1 Na 2.85
Cl  0.6122  0.0310  0.3054  1 Sb 2.55, 1 Na 2.85
Sb  0.3333  0.3333  0.5000  6 Cl 2.55
Na  0.6665  0.6666  0.5000  6 Cl 2.85
Cs  0.0000  0.0000  0.0000  6 Cl 3.53-3.54

Results
- Total energy: -3.208 eV/atom
- DOS at the Fermi energy: 4.4 states/eV/cell
- Magnetization: 0.08 μB per atom
- Formation energy (no corrections): -1.28 eV per atom



# 7
The following is a DFT calculation (GGA-PBE) of a relaxed structure of Ca2MgSi.

Unit cell a=3.5460 b=3.8370 c=7.7996 alpha=90.00 beta=90.00 gamma=90.00
Last column: nearest neighbours and their distance in Å.
Atoms (fractional coordinates):
Si  0.5000  0.5000  0.7500  8 Ca 3.11
Ca  0.0000  0.0000  0.5331  4 Si 3.11, 1 Ca 3.38, 4 Mg 3.42
Ca  0.0000  0.0000  0.9669  4 Si 3.11, 1 Ca 3.38, 4 Mg 3.42
Mg  0.5000  0.5000  0.2500  8 Ca 3.42, 2 Mg 3.55

Results
- Total energy: -2.959 eV/atom
- DOS at the Fermi energy: 1.8 states/eV/cell
- Magnetization: 0.00 μB per atom
- Formation energy (no corrections): -0.20 eV per atom



# 8
The following is a DFT calculation (GGA-PBE) of a relaxed structure of FeReIr2.

Unit cell a=4.6402 b=4.6402 c=4.6402 alpha=131.63 beta=131.63 gamma=70.82
Last column: nearest neighbours and their distance in Å.
Atoms (fractional coordinates):
Ir  0.2500  0.7500  0.5000  4 Ir 2.68, 4 Re 2.68, 4 Fe 2.69
Ir  0.0000  0.0000  0.0000  4 Fe 2.68, 4 Ir 2.68, 4 Re 2.69
Re  0.5000  0.5000  0.0000  8 Ir 2.68-2.69, 4 Fe 2.68
Fe  0.7500  0.2500  0.5000  4 Re 2.68, 8 Ir 2.68-2.69

Results
- Total energy: -9.703 eV/atom
- Formation energy from the elements: -0.045 eV per atom
- DOS at the Fermi energy: 3.3 states/eV/cell
- Magnetization: 0.00 μB per atom
- Distance to the lowest polymorph of the same formula: 98 meV per atom



Question: Look up the DOS at the Fermi energy of the sixth one.
Answer: 4.4 states/eV/cell



Question: What is the total energy in the fifth record?
Answer: -5.997 eV/atom



Question: What is the total energy in the fifth record?
Answer: -5.997 eV/atom